No. 1
Compound: NaSrBRh2
Source: Alexandria
Functional: GGA-PBE
Structure: relaxed

Computed properties:
Crystal system: tetragonal
Energy of formation in meV/atom: -147
Spin magnetization in μB per cell: 0.00

Lattice parameters (Å, degrees): 4.265 4.265 4.776 90.00 90.00 90.00
Sites, in units of the cell vectors:
Na 0.000 0.000 0.500
Rh 0.500 0.000 0.000
Rh 0.000 0.500 0.000
Sr 0.500 0.500 0.500
B 0.000 0.000 0.000



No. 2
Compound: CeSn2Te
Source: Alexandria
Functional: GGA-PBE
Structure: relaxed

Computed properties:
Crystal system: tetragonal
Formation energy without anion corrections in eV/atom: -0.60
Spin magnetization in μB per cell: 0.00

Lattice parameters (Å, degrees): 5.265 4.529 4.529 90.00 90.00 90.00
Sites, in units of the cell vectors:
Ce 0.500 0.000 0.000
Sn 0.000 0.000 0.500
Sn 0.000 0.500 0.000
Te 0.500 0.500 0.500



No. 3
Compound: MgAu2F12
Source: Alexandria
Functional: GGA-PBE
Structure: relaxed

Computed properties:
Crystal system: tetragonal
Formation energy without anion corrections in eV/atom: -1.28
Spin magnetization in μB per cell: 0.00

Lattice parameters (Å, degrees): 6.056 6.056 6.744 90.00 90.00 90.00
Sites, in units of the cell vectors:
F 0.755 0.800 0.803
F 0.245 0.200 0.803
F 0.500 0.000 0.504
F 0.000 0.500 0.920
F 0.200 0.245 0.197
F 0.000 0.500 0.496
F 0.245 0.800 0.803
F 0.800 0.245 0.197
F 0.500 0.000 0.080
F 0.755 0.200 0.803
F 0.800 0.755 0.197
F 0.200 0.755 0.197
Au 0.000 0.500 0.209
Au 0.500 0.000 0.791
Mg 0.000 0.000 0.000